First-principles (PBE) data for crystalline BaMgPtSe2 at its relaxed geometry, as listed in Alexandria. Values from VASP.

Calculated values
* formation energy without anion corrections: 1027 meV per atom

The structure in Quantum ESPRESSO input format:
```
&SYSTEM
  ibrav = 0, nat = 5, ntyp = 4
/
ATOMIC_SPECIES
Se 78.96 Se.upf
Pt 195.08 Pt.upf
Ba 137.33 Ba.upf
Mg 24.30 Mg.upf
CELL_PARAMETERS angstrom
5.848 0.000 0.000
0.000 5.848 0.000
0.000 0.000 6.622
ATOMIC_POSITIONS crystal
Se 0.000 0.500 0.000
Se 0.500 0.000 0.000
Pt 0.500 0.500 0.500
Ba 0.000 0.000 0.000
Mg 0.000 0.000 0.500
```

***

First-principles (PBE) data for crystalline BaMgSi2Pt2 at its relaxed geometry, as listed in Alexandria. Values from VASP.

Calculated values
* formation energy without anion corrections: -814 meV per atom

The structure in Quantum ESPRESSO input format:
```
&SYSTEM
  ibrav = 0, nat = 6, ntyp = 4
/
ATOMIC_SPECIES
Si 28.09 Si.upf
Pt 195.08 Pt.upf
Ba 137.33 Ba.upf
Mg 24.30 Mg.upf
CELL_PARAMETERS angstrom
-0.192 -4.308 -0.198
3.798 2.012 -0.403
1.021 -0.397 7.643
ATOMIC_POSITIONS crystal
Si 0.333 0.667 0.678
Si 0.667 0.333 0.322
Pt 0.667 0.333 0.668
Pt 0.333 0.667 0.332
Ba 0.000 0.000 0.000
Mg 0.000 0.000 0.500
```

***

First-principles (PBE) data for crystalline BaMgSi2Pt at its relaxed geometry, as listed in Alexandria. Values from VASP.

Calculated values
* ΔE to the lowest computed polymorph: 0.0000 eV per atom
* formation energy without anion corrections: 812 meV per atom

The structure in Quantum ESPRESSO input format:
```
&SYSTEM
  ibrav = 0, nat = 5, ntyp = 4
/
ATOMIC_SPECIES
Pt 195.08 Pt.upf
Mg 24.30 Mg.upf
Ba 137.33 Ba.upf
Si 28.09 Si.upf
CELL_PARAMETERS angstrom
-1.561 -3.975 2.267
5.306 -2.769 -1.202
1.811 1.663 4.163
ATOMIC_POSITIONS crystal
Pt 0.500 0.500 0.500
Mg 0.000 0.000 0.000
Ba 0.000 0.500 0.000
Si 0.000 0.000 0.500
Si 0.500 0.000 0.000
```

***

First-principles (PBE) data for crystalline BaMgSi2Pt at its relaxed geometry, as listed in Alexandria. Values from VASP.

Calculated values
* ΔE to the lowest computed polymorph: 0.7219 eV per atom
* formation energy without anion corrections: 1534 meV per atom

The structure in Quantum ESPRESSO input format:
```
&SYSTEM
  ibrav = 0, nat = 5, ntyp = 4
/
ATOMIC_SPECIES
Ba 137.33 Ba.upf
Si 28.09 Si.upf
Mg 24.30 Mg.upf
Pt 195.08 Pt.upf
CELL_PARAMETERS angstrom
-0.655 0.204 5.577
-2.926 -4.575 -0.176
4.689 -3.024 0.661
ATOMIC_POSITIONS crystal
Ba 0.000 0.000 0.000
Si 0.500 0.000 0.000
Si 0.000 0.000 0.500
Mg 0.500 0.500 0.500
Pt 0.000 0.500 0.000
```

***

First-principles (PBE) data for crystalline BaMg2SnPt at its relaxed geometry, as listed in Alexandria. Values from VASP.

Calculated values
* energy of formation: -2.47 eV per formula unit

The structure in Quantum ESPRESSO input format:
```
&SYSTEM
  ibrav = 0, nat = 5, ntyp = 4
/
ATOMIC_SPECIES
Mg 24.30 Mg.upf
Sn 118.71 Sn.upf
Pt 195.08 Pt.upf
Ba 137.33 Ba.upf
CELL_PARAMETERS angstrom
5.163 0.000 0.000
0.000 5.163 0.000
0.000 0.000 5.241
ATOMIC_POSITIONS crystal
Mg 0.000 0.500 0.000
Mg 0.500 0.000 0.000
Sn 0.000 0.000 0.500
Pt 0.000 0.000 0.000
Ba 0.500 0.500 0.500
```

***

First-principles (PBE) data for crystalline BaMgSnPt2 at its relaxed geometry, as listed in Alexandria. Values from VASP.

Calculated values
* energy of formation: -3.95 eV per formula unit

The structure in Quantum ESPRESSO input format:
```
&SYSTEM
  ibrav = 0, nat = 5, ntyp = 4
/
ATOMIC_SPECIES
Sn 118.71 Sn.upf
Ba 137.33 Ba.upf
Pt 195.08 Pt.upf
Mg 24.30 Mg.upf
CELL_PARAMETERS angstrom
-1.924 -3.021 2.746
4.083 -1.437 1.279
-1.056 6.178 2.347
ATOMIC_POSITIONS crystal
Sn 0.250 0.750 0.500
Ba 0.000 0.000 0.000
Pt 0.382 0.382 0.764
Pt 0.618 0.618 0.236
Mg 0.750 0.250 0.500
```

***

First-principles (PBE) data for crystalline Ba2SrMgPt at its relaxed geometry, as listed in Alexandria. Values from VASP.

Calculated values
* ΔE to the lowest computed polymorph: 0.0200 eV per atom
* energy of formation: -1.65 eV per formula unit

The structure in Quantum ESPRESSO input format:
```
&SYSTEM
  ibrav = 0, nat = 5, ntyp = 4
/
ATOMIC_SPECIES
Mg 24.30 Mg.upf
Ba 137.33 Ba.upf
Sr 87.62 Sr.upf
Pt 195.08 Pt.upf
CELL_PARAMETERS angstrom
6.280 0.000 0.000
0.000 6.280 0.000
0.000 0.000 5.343
ATOMIC_POSITIONS crystal
Mg 0.000 0.000 0.500
Ba 0.000 0.500 0.000
Ba 0.500 0.000 0.000
Sr 0.500 0.500 0.500
Pt 0.000 0.000 0.000
```

***

First-principles (PBE) data for crystalline BaSrMg2Pt at its relaxed geometry, as listed in Alexandria. Values from VASP.

Calculated values
* ΔE to the lowest computed polymorph: 0.0000 eV per atom
* energy of formation: -1.82 eV per formula unit

The structure in Quantum ESPRESSO input format:
```
&SYSTEM
  ibrav = 0, nat = 5, ntyp = 4
/
ATOMIC_SPECIES
Mg 24.30 Mg.upf
Ba 137.33 Ba.upf
Pt 195.08 Pt.upf
Sr 87.62 Sr.upf
CELL_PARAMETERS angstrom
-0.514 4.433 2.926
-4.261 1.411 -2.886
-3.417 -2.817 3.667
ATOMIC_POSITIONS crystal
Mg 0.000 0.500 0.000
Mg 0.500 0.000 0.000
Ba 0.500 0.500 0.500
Pt 0.000 0.000 0.000
Sr 0.000 0.000 0.500
```

***

First-principles (PBE) data for crystalline BaSr2MgPt at its relaxed geometry, as listed in Alexandria. Values from VASP.

Calculated values
* energy of formation: -1.82 eV per formula unit

The structure in Quantum ESPRESSO input format:
```
&SYSTEM
  ibrav = 0, nat = 5, ntyp = 4
/
ATOMIC_SPECIES
Ba 137.33 Ba.upf
Sr 87.62 Sr.upf
Pt 195.08 Pt.upf
Mg 24.30 Mg.upf
CELL_PARAMETERS angstrom
-4.974 -3.190 1.067
1.729 -4.059 -4.074
2.578 -2.740 3.824
ATOMIC_POSITIONS crystal
Ba 0.500 0.500 0.500
Sr 0.000 0.500 0.000
Sr 0.500 0.000 0.000
Pt 0.000 0.000 0.000
Mg 0.000 0.000 0.500
```

***

First-principles (PBE) data for crystalline Ba2SrMgPt at its relaxed geometry, as listed in Alexandria. Values from VASP.

Calculated values
* ΔE to the lowest computed polymorph: 0.0000 eV per atom
* energy of formation: -1.75 eV per formula unit

The structure in Quantum ESPRESSO input format:
```
&SYSTEM
  ibrav = 0, nat = 5, ntyp = 4
/
ATOMIC_SPECIES
Pt 195.08 Pt.upf
Sr 87.62 Sr.upf
Ba 137.33 Ba.upf
Mg 24.30 Mg.upf
CELL_PARAMETERS angstrom
-0.595 -0.319 6.166
-5.563 -2.661 -0.674
2.565 -5.355 -0.030
ATOMIC_POSITIONS crystal
Pt 0.000 0.000 0.000
Sr 0.000 0.000 0.500
Ba 0.500 0.000 0.000
Ba 0.000 0.500 0.000
Mg 0.500 0.500 0.500
```

***

First-principles (PBE) data for crystalline BaSr2MgPt at its relaxed geometry, as listed in Alexandria. Values from VASP.

Calculated values
* energy of formation: -1.81 eV per formula unit

The structure in Quantum ESPRESSO input format:
```
&SYSTEM
  ibrav = 0, nat = 5, ntyp = 4
/
ATOMIC_SPECIES
Mg 24.30 Mg.upf
Sr 87.62 Sr.upf
Ba 137.33 Ba.upf
Pt 195.08 Pt.upf
CELL_PARAMETERS angstrom
-0.977 3.121 4.948
3.573 -3.654 3.010
4.829 3.625 -1.333
ATOMIC_POSITIONS crystal
Mg 0.500 0.500 0.500
Sr 0.000 0.500 0.000
Sr 0.500 0.000 0.000
Ba 0.000 0.000 0.500
Pt 0.000 0.000 0.000
```

***

First-principles (PBE) data for crystalline BaSrMg2Pt at its relaxed geometry, as listed in Alexandria. Values from VASP.

Calculated values
* ΔE to the lowest computed polymorph: 0.0589 eV per atom
* energy of formation: -1.53 eV per formula unit

The structure in Quantum ESPRESSO input format:
```
&SYSTEM
  ibrav = 0, nat = 5, ntyp = 4
/
ATOMIC_SPECIES
Sr 87.62 Sr.upf
Mg 24.30 Mg.upf
Pt 195.08 Pt.upf
Ba 137.33 Ba.upf
CELL_PARAMETERS angstrom
5.353 0.000 0.000
0.000 5.353 0.000
0.000 0.000 5.919
ATOMIC_POSITIONS crystal
Sr 0.500 0.500 0.500
Mg 0.000 0.500 0.000
Mg 0.500 0.000 0.000
Pt 0.000 0.000 0.000
Ba 0.000 0.000 0.500
```